(1)
Below is a geometry-optimized AcPuCd2O8 structure, with properties calculated at the PBE level.

abc: 4.8936 7.4605 4.9110
angles: 90.00 90.60 90.00
Last column: nearest neighbours and their distance in Å.
Space group P2/m (No. 10)
One atom of each set of equivalent atoms:
Ac: 0.0000 0.0000 0.0000 (multiplicity 1)  8 O 2.54-2.83
Pu: 0.0000 0.5000 0.0000 (multiplicity 1)  6 O 1.96-2.01
Cd: 0.5000 0.2585 0.5000 (multiplicity 2)  6 O 2.28-2.37
O: 0.1324 0.2937 0.7747 (multiplicity 4)  1 Pu 2.01
O: 0.3249 0.5000 0.2369 (multiplicity 2)  1 Pu 1.96
O: 0.4749 0.0000 0.2338 (multiplicity 2)  1 O 2.31, 2 Cd 2.33, 1 Ac 2.58

**E_form (uncorrected)**: -1.7868 eV/atom
**Calculated volume**: 14.94 A^3/atom
**DOS at the Fermi energy**: 2.18 states/eV/cell
**Density**: 7.63 Mg/m³

(2)
Below is a geometry-optimized AcPuCdO6 structure, with properties calculated at the PBE level.

abc: 6.0550 6.0550 4.6716
angles: 90.00 90.00 120.00
Last column: nearest neighbours and their distance in Å.
Space group P312 (No. 149)
One atom of each set of equivalent atoms:
Ac: 0.0000 0.0000 0.0000 (multiplicity 1)  6 O 2.47
Pu: 0.3333 0.6667 0.0000 (multiplicity 1)  6 O 2.03
Cd: 0.6667 0.3333 0.5000 (multiplicity 1)  6 O 2.49
O: 0.0448 0.3870 0.2310 (multiplicity 6)  1 Pu 2.03

**E_form (uncorrected)**: -2.2077 eV/atom
**Calculated volume**: 16.48 A^3/atom
**Density**: 7.61 Mg/m³

(3)
Below is a geometry-optimized RbAc2CdO4 structure, with properties calculated at the PBE level.

abc: 3.9721 13.8479 12.8844
angles: 90.00 90.00 90.00
Last column: nearest neighbours and their distance in Å.
Space group Cmcm (No. 63)
One atom of each set of equivalent atoms:
Rb: 0.0000 0.0285 0.2500 (multiplicity 4)  4 O 2.91-3.25
Ac: 0.0000 0.3672 0.0500 (multiplicity 8)  4 O 2.44-2.58
Cd: 0.0000 0.2450 0.7500 (multiplicity 4)  2 O 2.24
O: 0.0000 0.0000 0.0000 (multiplicity 4)  4 Ac 2.78
O: 0.0000 0.2321 0.5769 (multiplicity 8)  1 Cd 2.24, 3 Ac 2.44-2.48
O: 0.0000 0.3747 0.2500 (multiplicity 4)  2 Ac 2.58, 2 Cd 2.59

**E_form (uncorrected)**: -2.2271 eV/atom
**Calculated volume**: 22.15 A^3/atom
**DOS at the Fermi energy**: 7.53 states/eV/cell
**Density**: 6.71 Mg/m³